Record 1
Computed, not measured: BSb2P at its PBEsol-relaxed geometry at the meta-GGA SCAN level of DFT.

Summary:
**Calculated volume**: 71.5 Å³/f.u.
**Formation energy from raw total energies**: 4.68 eV/f.u.
**Size of the total moment**: 0.00 μB/atom
**Crystal system**: cubic
**D(E_F)**: 0.93 states/eV/f.u.

Lattice parameters (Å, degrees): 6.589 6.589 6.589 90.00 90.00 90.00
Space group Fm-3m (No. 225)
Symmetry-distinct sites (fractional):
B1 0.000 0.000 0.000
Sb1 0.250 0.250 0.250
P1 0.000 0.000 0.500



Record 2
Computed, not measured: BSbTe2P at its PBEsol-relaxed geometry at the meta-GGA SCAN level of DFT.

Summary:
**Calculated volume**: 106.9 Å³/f.u.
**Formation energy from raw total energies**: 5.23 eV/f.u.
**Size of the total moment**: 0.00 μB/atom
**Crystal system**: tetragonal
**D(E_F)**: 3.29 states/eV/f.u.

Lattice parameters (Å, degrees): 4.711 4.711 4.818 90.00 90.00 90.00
Space group P4/mmm (No. 123)
Symmetry-distinct sites (fractional):
B1 0.000 0.000 0.000
Sb1 0.000 0.000 0.500
Te1 0.000 0.500 0.000
P1 0.500 0.500 0.500



Record 3
Computed, not measured: ScBP3 at its PBEsol-relaxed geometry at the meta-GGA SCAN level of DFT.

Summary:
**DFT formation energy**: 1418 meV per atom
**Calculated volume**: 112.1 Å³/f.u.
**Size of the total moment**: 0.00 μB/atom
**Crystal system**: cubic
**D(E_F)**: 3.63 states/eV/f.u.

Lattice parameters (Å, degrees): 4.821 4.821 4.821 90.00 90.00 90.00
Space group Pm-3m (No. 221)
Symmetry-distinct sites (fractional):
Sc1 0.000 0.000 0.000
B1 0.500 0.500 0.500
P1 0.000 0.000 0.500